A plane-wave DFT calculation with PBE was carried out for a relaxed TcAg2W crystal.

Cell lengths 3.0914, 3.0914, 7.2272 Å; angles 90.00, 90.00, 90.00 degrees
With the nearest neighbours (Å) after each atom.
Sites, in units of the cell vectors:
Tc: 0.0000 0.0000 0.0000  4 W 2.55
Ag: 0.0000 0.0000 0.4639  8 Ag 2.87-3.09, 4 W 2.99
Ag: 0.5000 0.5000 0.7210  8 Ag 2.87-3.09, 4 Tc 2.97
W: 0.5000 0.5000 0.1812  4 Tc 2.55

Properties
* formation energy: 0.405 eV per atom
* polymorph energy (0 for the lowest one): 83 meV/atom

=====

A plane-wave DFT calculation with PBE was carried out for a relaxed TaTeOsN2 crystal.

Cell lengths 3.9758, 3.9758, 5.9034 Å; angles 90.00, 90.00, 90.00 degrees
With the nearest neighbours (Å) after each atom.
Sites, in units of the cell vectors:
Ta: 0.0000 0.0000 0.0000  4 N 1.99
Te: 0.0000 0.0000 0.5000  4 Os 2.81, 2 Ta 2.95
Os: 0.5000 0.5000 0.5000  4 Te 2.81
N: 0.0000 0.5000 0.0000  2 Ta 1.99
N: 0.5000 0.0000 0.0000  2 Ta 1.99

Properties
* polymorph energy (0 for the lowest one): 0 meV/atom
* formation energy from raw total energies: 1.06 eV/atom

=====

A plane-wave DFT calculation with PBE was carried out for a relaxed La2CeSn crystal.

Cell lengths 4.9868, 4.9868, 4.9085 Å; angles 90.00, 90.00, 90.00 degrees
With the nearest neighbours (Å) after each atom.
Sites, in units of the cell vectors:
La: 0.0000 0.5000 0.0000  4 Sn 3.50, 4 Ce 3.50, 4 La 3.53
La: 0.5000 0.0000 0.0000  4 Sn 3.50, 4 Ce 3.50, 4 La 3.53
Ce: 0.0000 0.0000 0.5000  8 La 3.50, 4 Sn 3.53
Sn: 0.5000 0.5000 0.5000  8 La 3.50, 4 Ce 3.53

Properties
* formation energy: -0.426 eV per atom
* polymorph energy (0 for the lowest one): 0 meV/atom

=====

A plane-wave DFT calculation with PBE was carried out for a relaxed AuSe2I2 crystal.

Cell lengths 7.1697, 7.1697, 8.2867 Å; angles 90.96, 90.96, 109.27 degrees
With the nearest neighbours (Å) after each atom.
Sites, in units of the cell vectors:
Au: 0.1635 0.8365 0.0000  2 Se 2.55, 2 I 2.67
Au: 0.8365 0.1635 0.0000  2 Se 2.55, 2 I 2.67
Se: 0.0956 0.0956 0.1832  1 Se 2.36, 2 Au 2.55
Se: 0.0978 0.0978 0.6137  2 Se 2.36-2.45
Se: 0.9022 0.9022 0.3863  2 Se 2.36-2.45
Se: 0.9044 0.9044 0.8168  1 Se 2.36, 2 Au 2.55
I: 0.2112 0.5717 0.7889  1 Au 2.67
I: 0.4283 0.7888 0.2111  1 Au 2.67
I: 0.5717 0.2112 0.7889  1 Au 2.67
I: 0.7888 0.4283 0.2111  1 Au 2.67

Properties
* polymorph energy (0 for the lowest one): 0 meV/atom
* formation energy from raw total energies: 0.01 eV/atom

=====

A plane-wave DFT calculation with PBE was carried out for a relaxed CoTeI2 crystal.

Cell lengths 7.4044, 7.4044, 9.7969 Å; angles 90.00, 90.00, 90.00 degrees
With the nearest neighbours (Å) after each atom.
Sites, in units of the cell vectors:
Co: 0.0000 0.0000 0.0000  4 I 2.53
Co: 0.0000 0.5000 0.2500  4 I 2.53
Co: 0.5000 0.0000 0.7500  4 I 2.53
Co: 0.5000 0.5000 0.5000  4 I 2.53
Te: 0.0000 0.0000 0.5000  4 I 3.33
Te: 0.0000 0.5000 0.7500  4 I 3.33
Te: 0.5000 0.0000 0.2500  4 I 3.33
Te: 0.5000 0.5000 0.0000  4 I 3.33
I: 0.1639 0.2500 0.1250  2 Co 2.53
I: 0.2500 0.6639 0.3750  2 Co 2.53
I: 0.2500 0.8361 0.8750  2 Co 2.53
I: 0.3361 0.2500 0.6250  2 Co 2.53
I: 0.6639 0.7500 0.6250  2 Co 2.53
I: 0.7500 0.1639 0.8750  2 Co 2.53
I: 0.7500 0.3361 0.3750  2 Co 2.53
I: 0.8361 0.7500 0.1250  2 Co 2.53

Properties
* formation energy from raw total energies: 0.45 eV/atom

=====

A plane-wave DFT calculation with PBE was carried out for a relaxed PmNd4Sb5 crystal.

Cell lengths 16.2829, 16.2829, 16.2829 Å; angles 164.05, 164.05, 22.63 degrees
With the nearest neighbours (Å) after each atom.
Sites, in units of the cell vectors:
Pm: 0.0000 0.0000 0.0000  6 Sb 3.18-3.20
Nd: 0.1999 0.1999 0.0000  6 Sb 3.20
Nd: 0.4001 0.4001 0.0000  6 Sb 3.19-3.20
Nd: 0.5999 0.5999 0.0000  6 Sb 3.19-3.20
Nd: 0.8001 0.8001 0.0000  6 Sb 3.20
Sb: 0.0996 0.0996 0.0000  1 Pm 3.18, 5 Nd 3.20
Sb: 0.3000 0.3000 0.0000  6 Nd 3.20
Sb: 0.5000 0.5000 0.0000  2 Nd 3.19, 4 Pm 3.20
Sb: 0.7000 0.7000 0.0000  6 Nd 3.20
Sb: 0.9004 0.9004 0.0000  1 Pm 3.18, 5 Nd 3.20

Properties
* formation energy from raw total energies: -1.19 eV/atom

=====

A plane-wave DFT calculation with PBE was carried out for a relaxed Te2IrW2 crystal.

Cell lengths 3.6366, 3.6366, 15.9758 Å; angles 90.00, 90.00, 90.00 degrees
With the nearest neighbours (Å) after each atom.
Sites, in units of the cell vectors:
Te: 0.0000 0.0000 0.1072  4 W 2.92, 4 Ir 3.09
Te: 0.0000 0.0000 0.8928  4 W 2.92, 4 Ir 3.09
Te: 0.5000 0.5000 0.3928  4 W 2.92, 4 Ir 3.09
Te: 0.5000 0.5000 0.6072  4 W 2.92, 4 Ir 3.09
Ir: 0.0000 0.0000 0.5000  8 Te 3.09
Ir: 0.5000 0.5000 0.0000  8 Te 3.09
W: 0.0000 0.5000 0.2500  4 W 2.57
W: 0.0000 0.5000 0.7500  4 W 2.57
W: 0.5000 0.0000 0.2500  4 W 2.57
W: 0.5000 0.0000 0.7500  4 W 2.57

Properties
* polymorph energy (0 for the lowest one): 0 meV/atom
* formation energy from raw total energies: 1.00 eV/atom

=====

A plane-wave DFT calculation with PBE was carried out for a relaxed Mn2NbFeTe crystal.

Cell lengths 4.7434, 4.7434, 5.1326 Å; angles 90.00, 90.00, 90.00 degrees
With the nearest neighbours (Å) after each atom.
Sites, in units of the cell vectors:
Mn: 0.0000 0.5000 0.0000  2 Te 2.37
Mn: 0.5000 0.0000 0.0000  2 Te 2.37
Nb: 0.0000 0.0000 0.5000  2 Te 2.57
Fe: 0.5000 0.5000 0.5000  4 Nb 3.35, 8 Mn 3.49
Te: 0.0000 0.0000 0.0000  4 Mn 2.37, 2 Nb 2.57

Properties
* formation energy from raw total energies: 1.45 eV/atom

=====

| no. | D(E_F) (states/eV/cell) |
| --- | --- |
| 1 | 3.1 |
| 2 | 4.7 |
| 3 | 9.0 |
| 4 | 1.1 |
| 5 | 7.5 |
| 6 | 1.2 |
| 7 | 10.9 |
| 8 | 6.5 |